[1]
Entry from the Alexandria database: a relaxed HfTlN crystal (GGA-PBE).

Summary:
M_tot ... 0.00 Bohr magnetons per cell
DFT total energy ... -6.8711 eV per atom
V ... 26.47 Å³ per atom

Cell: 3.4239 19.9046 4.6614 Å, 90.00 90.00 90.00°
Last column: nearest neighbours and their distance in Å.
Space group Cmcm (No. 63)
Symmetry-distinct sites (fractional):
Hf  0.0000  0.1155  0.2500  2 N 1.94
Tl  0.0000  0.2108  0.7500  2 Hf 3.01, 4 Tl 3.29
N  0.0000  0.4308  0.7500  2 Hf 1.94

=====

[2]
Entry from the Alexandria database: a relaxed Hf2TlN crystal (GGA-PBE).

Summary:
M_tot ... 0.00 Bohr magnetons per cell
DFT total energy ... -8.5385 eV per atom
V ... 17.25 Å³ per atom

Cell: 3.2713 3.2713 22.3320 Å, 90.00 90.00 120.00°
Last column: nearest neighbours and their distance in Å.
Space group R-3m (No. 166, hexagonal axes)
Symmetry-distinct sites (fractional):
Hf  0.0000  0.0000  0.2218  3 N 2.25
Tl  0.0000  0.0000  0.0000  6 Hf 3.13, 6 Tl 3.27
N  0.0000  0.0000  0.5000  6 Hf 2.25

=====

[3]
Entry from the Alexandria database: a relaxed Hf6Tl3N crystal (GGA-PBE).

Summary:
M_tot ... 0.00 Bohr magnetons per cell
DFT total energy ... -7.6763 eV per atom
V ... 21.45 Å³ per atom

Cell: 5.8285 7.8525 10.8998 Å, 90.00 120.68 90.00°
Last column: nearest neighbours and their distance in Å.
Space group P2_1/c (No. 14)
Symmetry-distinct sites (fractional):
Hf  0.0623  0.0665  0.2131  1 N 2.22
Hf  0.1852  0.7492  0.5695  1 N 2.18
Hf  0.3921  0.1382  0.0436  1 N 2.35
Tl  0.3027  0.0961  0.7142  7 Hf 2.92-3.19, 1 Tl 3.17
Tl  0.5000  0.0000  0.5000  6 Hf 2.90-3.04, 2 Tl 3.17
N  0.0000  0.0000  0.0000  6 Hf 2.18-2.35

=====

[4]
Entry from the Alexandria database: a relaxed Hf4Tl2N crystal (GGA-PBE).

Summary:
M_tot ... 0.00 Bohr magnetons per cell
DFT total energy ... -7.9386 eV per atom
V ... 20.69 Å³ per atom

Cell: 4.3727 4.3727 15.1489 Å, 90.00 90.00 90.00°
Last column: nearest neighbours and their distance in Å.
Space group I4/mmm (No. 139)
Symmetry-distinct sites (fractional):
Hf  0.0000  0.0000  0.1500  1 N 2.27
Hf  0.0000  0.5000  0.0000  2 N 2.19
Tl  0.0000  0.0000  0.3494  9 Hf 3.02-3.16
N  0.0000  0.0000  0.0000  6 Hf 2.19-2.27

=====

[5]
Entry from the Alexandria database: a relaxed Hf7Tl2N2 crystal (GGA-PBE).

Summary:
M_tot ... 0.00 Bohr magnetons per cell
DFT total energy ... -8.5891 eV per atom
V ... 20.92 Å³ per atom

Cell: 8.1041 9.6740 5.8944 Å, 90.00 95.19 90.00°
Last column: nearest neighbours and their distance in Å.
Space group C2/m (No. 12)
Symmetry-distinct sites (fractional):
Hf  0.0000  0.0000  0.0000  2 N 2.04
Hf  0.1489  0.5000  0.6774  1 N 2.09
Hf  0.1606  0.3345  0.1842  1 N 2.05
Tl  0.0000  0.1588  0.5000  4 Hf 2.91-3.18, 1 Tl 3.07
N  0.2493  0.5000  0.0164  4 Hf 2.04-2.09

=====

[6]
Entry from the Alexandria database: a relaxed HfTl2N crystal (GGA-PBE).

Summary:
M_tot ... 3.06 Bohr magnetons per cell
DFT total energy ... -4.4194 eV per atom
V ... 20.92 Å³ per atom
Polymorph energy (0 for the lowest one) ... 1156 meV/atom

Cell: 6.9430 6.9430 6.9430 Å, 90.00 90.00 90.00°
Last column: nearest neighbours and their distance in Å.
Space group Fm-3m (No. 225)
Symmetry-distinct sites (fractional):
Hf  0.0000  0.0000  0.0000  8 Tl 3.01
Tl  0.2500  0.2500  0.2500  4 Hf 3.01, 4 N 3.01
N  0.0000  0.0000  0.5000  8 Tl 3.01

=====

[7]
Entry from the Alexandria database: a relaxed Hf6TlN crystal (GGA-PBE).

Summary:
M_tot ... 0.00 Bohr magnetons per cell
DFT total energy ... -9.1711 eV per atom
V ... 20.23 Å³ per atom

Cell: 8.6813 8.6813 7.4380 Å, 90.00 90.00 120.00°
Last column: nearest neighbours and their distance in Å.
Space group R-3m (No. 166, hexagonal axes)
Symmetry-distinct sites (fractional):
Hf  0.0759  0.5379  0.3164  1 N 2.23
Tl  0.0000  0.0000  0.0000  12 Hf 3.08-3.25
N  0.0000  0.0000  0.5000  6 Hf 2.23

=====

[8]
Entry from the Alexandria database: a relaxed HfTlW2N crystal (GGA-PBE).

Summary:
M_tot ... 0.12 Bohr magnetons per cell
DFT total energy ... -6.6001 eV per atom
V ... 21.17 Å³ per atom

Cell: 5.1504 5.1504 3.9900 Å, 90.00 90.00 90.00°
Last column: nearest neighbours and their distance in Å.
Space group P4/mmm (No. 123)
Symmetry-distinct sites (fractional):
Hf  0.0000  0.0000  0.0000  8 W 3.26, 4 N 3.64
Tl  0.5000  0.5000  0.5000  2 N 1.99
W  0.0000  0.5000  0.5000  2 Tl 2.58
N  0.5000  0.5000  0.0000  2 Tl 1.99

=====

[9]
Entry from the Alexandria database: a relaxed Y2HfTlN crystal (GGA-PBE).

Summary:
M_tot ... 0.00 Bohr magnetons per cell
DFT total energy ... -7.5355 eV per atom
V ... 21.04 Å³ per atom

Cell: 4.8802 4.8802 4.4174 Å, 90.00 90.00 90.00°
Last column: nearest neighbours and their distance in Å.
Space group P4/mmm (No. 123)
Symmetry-distinct sites (fractional):
Y  0.0000  0.5000  0.0000  2 N 2.44
Hf  0.0000  0.0000  0.5000  2 N 2.21
Tl  0.5000  0.5000  0.5000  8 Y 3.29, 4 Hf 3.45
N  0.0000  0.0000  0.0000  2 Hf 2.21, 4 Y 2.44

=====

[10]
Entry from the Alexandria database: a relaxed YHf2TlN crystal (GGA-PBE).

Summary:
M_tot ... 0.00 Bohr magnetons per cell
DFT total energy ... -8.1125 eV per atom
V ... 19.46 Å³ per atom

Cell: 4.4500 4.4500 4.9132 Å, 90.00 90.00 90.00°
Last column: nearest neighbours and their distance in Å.
Space group P4/mmm (No. 123)
Symmetry-distinct sites (fractional):
Y  0.0000  0.0000  0.0000  2 N 2.46
Hf  0.0000  0.5000  0.5000  2 N 2.23
Tl  0.5000  0.5000  0.0000  4 Y 3.15, 8 Hf 3.31
N  0.0000  0.0000  0.5000  4 Hf 2.23, 2 Y 2.46

=====

[11]
Entry from the Alexandria database: a relaxed Hf2ZrTlN crystal (GGA-PBE).

Summary:
M_tot ... 0.00 Bohr magnetons per cell
DFT total energy ... -8.4971 eV per atom
V ... 18.33 Å³ per atom

Cell: 4.3865 4.3865 4.7627 Å, 90.00 90.00 90.00°
Last column: nearest neighbours and their distance in Å.
Space group P4/mmm (No. 123)
Symmetry-distinct sites (fractional):
Hf  0.0000  0.5000  0.0000  2 N 2.19
Zr  0.0000  0.0000  0.5000  2 N 2.38
Tl  0.5000  0.5000  0.5000  4 Zr 3.10, 8 Hf 3.24
N  0.0000  0.0000  0.0000  4 Hf 2.19, 2 Zr 2.38

=====

[12]
Entry from the Alexandria database: a relaxed HfZr2TlN crystal (GGA-PBE).

Summary:
M_tot ... 0.00 Bohr magnetons per cell
DFT total energy ... -8.2529 eV per atom
V ... 18.54 Å³ per atom

Cell: 4.6319 4.6319 4.3210 Å, 90.00 90.00 90.00°
Last column: nearest neighbours and their distance in Å.
Space group P4/mmm (No. 123)
Symmetry-distinct sites (fractional):
Hf  0.0000  0.0000  0.0000  2 N 2.16
Zr  0.0000  0.5000  0.5000  2 N 2.32
Tl  0.5000  0.5000  0.0000  8 Zr 3.17, 4 Hf 3.28
N  0.0000  0.0000  0.5000  2 Hf 2.16, 4 Zr 2.32

=====

[13]
Entry from the Alexandria database: a relaxed TmHf4N5 crystal (GGA-PBE).

Summary:
M_tot ... 0.00 Bohr magnetons per cell
DFT total energy ... -10.3688 eV per atom
V ... 12.02 Å³ per atom

Cell: 7.2380 7.2380 4.5887 Å, 90.00 90.00 90.00°
Last column: nearest neighbours and their distance in Å.
Space group I4/m (No. 87)
Symmetry-distinct sites (fractional):
Tm  0.0000  0.0000  0.0000  6 N 2.29-2.34
Hf  0.1013  0.2999  0.5000  6 N 2.25-2.29
N  0.0000  0.0000  0.5000  4 Hf 2.29, 2 Tm 2.29
N  0.1006  0.3069  0.0000  5 Hf 2.25-2.29, 1 Tm 2.34

=====

[14]
Entry from the Alexandria database: a relaxed Tm4HfN4 crystal (GGA-PBE).

Summary:
M_tot ... 0.00 Bohr magnetons per cell
DFT total energy ... -8.3792 eV per atom
V ... 15.03 Å³ per atom

Cell: 7.4859 7.4859 4.8283 Å, 90.00 90.00 90.00°
Last column: nearest neighbours and their distance in Å.
Space group I4/m (No. 87)
Symmetry-distinct sites (fractional):
Tm  0.1069  0.6920  0.0000  5 N 2.28-2.50
Hf  0.0000  0.0000  0.5000  4 N 2.27
N  0.0939  0.7123  0.5000  1 Hf 2.27, 5 Tm 2.28-2.50

=====

[15]
Entry from the Alexandria database: a relaxed TmHf4N4 crystal (GGA-PBE).

Summary:
M_tot ... 0.00 Bohr magnetons per cell
DFT total energy ... -10.2112 eV per atom
V ... 13.44 Å³ per atom

Cell: 4.5106 5.6416 5.6493 Å, 80.92 66.54 66.58°
Last column: nearest neighbours and their distance in Å.
Space group P-1 (No. 2)
Symmetry-distinct sites (fractional):
Tm  0.0000  0.0000  0.0000  4 N 2.37-2.38
Hf  0.1874  0.2023  0.4232  5 N 2.19-2.30
Hf  0.3898  0.4231  0.7977  5 N 2.19-2.31
N  0.1009  0.5909  0.2074  5 Hf 2.19-2.30, 1 Tm 2.38
N  0.3076  0.7927  0.5917  5 Hf 2.19-2.31, 1 Tm 2.37

=====

[16]
Entry from the Alexandria database: a relaxed Tm5Hf3N8 crystal (GGA-PBE).

Summary:
M_tot ... 0.00 Bohr magnetons per cell
DFT total energy ... -9.2844 eV per atom
V ... 12.89 Å³ per atom

Cell: 6.6191 6.6191 16.3010 Å, 90.00 90.00 120.00°
Last column: nearest neighbours and their distance in Å.
Space group R-3m (No. 166, hexagonal axes)
Symmetry-distinct sites (fractional):
Tm  0.0000  0.0000  0.0000  6 N 2.35
Tm  0.0000  0.0000  0.5000  6 N 2.35
Tm  0.0000  0.5000  0.0000  6 N 2.40-2.41
Hf  0.0000  0.5000  0.5000  6 N 2.28-2.29
N  0.0000  0.0000  0.2441  3 Hf 2.29, 3 Tm 2.40
N  0.0091  0.5045  0.7545  2 Hf 2.28, 4 Tm 2.35-2.41

=====

[17]
Entry from the Alexandria database: a relaxed TmHfN2 crystal (GGA-PBE).

Summary:
M_tot ... 0.00 Bohr magnetons per cell
DFT total energy ... -9.3428 eV per atom
V ... 12.88 Å³ per atom

Cell: 3.2345 3.2345 17.0648 Å, 90.00 90.00 120.00°
Last column: nearest neighbours and their distance in Å.
Space group R3m (No. 160, hexagonal axes)
Symmetry-distinct sites (fractional):
Tm  0.0000  0.0000  0.0000  6 N 2.31-2.46
Hf  0.0000  0.0000  0.8254  6 N 2.30-2.32
N  0.0000  0.0000  0.4130  3 Hf 2.30, 3 Tm 2.31
N  0.0000  0.0000  0.5732  3 Hf 2.32, 3 Tm 2.46

=====

[18]
Entry from the Alexandria database: a relaxed TmHf6N8 crystal (GGA-PBE).

Summary:
M_tot ... 0.00 Bohr magnetons per cell
DFT total energy ... -10.3892 eV per atom
V ... 12.40 Å³ per atom

Cell: 9.0624 9.0624 9.0624 Å, 90.00 90.00 90.00°
Last column: nearest neighbours and their distance in Å.
Space group Fm-3m (No. 225)
Symmetry-distinct sites (fractional):
Tm  0.0000  0.0000  0.0000  6 N 2.25
Hf  0.0000  0.2500  0.2500  6 N 2.27
N  0.0000  0.0000  0.2483  1 Tm 2.25, 4 Hf 2.27
N  0.2500  0.2500  0.2500  6 Hf 2.27

=====

[19]
Entry from the Alexandria database: a relaxed TmHf5N6 crystal (GGA-PBE).

Summary:
M_tot ... 0.00 Bohr magnetons per cell
DFT total energy ... -10.4603 eV per atom
V ... 11.96 Å³ per atom

Cell: 5.5942 9.6991 5.6054 Å, 90.00 109.30 90.00°
Last column: nearest neighbours and their distance in Å.
Space group C2/m (No. 12)
Symmetry-distinct sites (fractional):
Tm  0.0000  0.0000  0.0000  6 N 2.32-2.34
Hf  0.0000  0.1657  0.5000  6 N 2.25-2.29
Hf  0.0000  0.3331  0.0000  6 N 2.28-2.29
Hf  0.0000  0.5000  0.5000  6 N 2.25-2.28
N  0.2443  0.5000  0.2526  5 Hf 2.25-2.29, 1 Tm 2.32
N  0.2448  0.3302  0.7432  5 Hf 2.25-2.29, 1 Tm 2.34

=====

[20]
Entry from the Alexandria database: a relaxed TmHf2N3 crystal (GGA-PBE).

Summary:
M_tot ... 0.00 Bohr magnetons per cell
DFT total energy ... -10.0204 eV per atom
V ... 12.27 Å³ per atom

Cell: 6.5244 4.6064 9.7976 Å, 90.00 90.00 90.00°
Last column: nearest neighbours and their distance in Å.
Space group Pnma (No. 62)
Symmetry-distinct sites (fractional):
Tm  0.1260  0.2500  0.0811  6 N 2.30-2.37
Hf  0.1237  0.2500  0.4156  6 N 2.29-2.32
Hf  0.1243  0.2500  0.7505  6 N 2.24-2.32
N  0.1176  0.7500  0.4134  5 Hf 2.25-2.32, 1 Tm 2.35
N  0.1250  0.7500  0.7500  4 Hf 2.29-2.31, 2 Tm 2.32-2.33
N  0.1336  0.7500  0.0881  3 Hf 2.24-2.32, 3 Tm 2.30-2.37

=====

[21]
Entry from the Alexandria database: a relaxed Tm4HfN5 crystal (GGA-PBE).

Summary:
M_tot ... 0.00 Bohr magnetons per cell
DFT total energy ... -8.7970 eV per atom
V ... 13.33 Å³ per atom

Cell: 7.4952 7.4952 4.7462 Å, 90.00 90.00 90.00°
Last column: nearest neighbours and their distance in Å.
Space group I4/m (No. 87)
Symmetry-distinct sites (fractional):
Tm  0.1001  0.7004  0.0000  6 N 2.37-2.47
Hf  0.0000  0.0000  0.5000  6 N 2.27-2.37
N  0.0000  0.0000  0.0000  4 Tm 2.37, 2 Hf 2.37
N  0.0957  0.7122  0.5000  1 Hf 2.27, 5 Tm 2.37-2.47

=====

[22]
Entry from the Alexandria database: a relaxed TmHfN crystal (GGA-PBE).

Summary:
M_tot ... 0.00 Bohr magnetons per cell
DFT total energy ... -8.7138 eV per atom
V ... 17.27 Å³ per atom
Polymorph energy (0 for the lowest one) ... 0 meV/atom

Cell: 3.4557 3.4557 4.3393 Å, 90.00 90.00 90.00°
Last column: nearest neighbours and their distance in Å.
Space group P4/mmm (No. 123)
Symmetry-distinct sites (fractional):
Tm  0.0000  0.0000  0.0000  4 N 2.44
Hf  0.5000  0.5000  0.5000  2 N 2.17
N  0.5000  0.5000  0.0000  2 Hf 2.17

=====

[23]
Entry from the Alexandria database: a relaxed TmHfN crystal (GGA-PBE).

Summary:
M_tot ... 0.24 Bohr magnetons per cell
DFT total energy ... -8.7012 eV per atom
V ... 17.45 Å³ per atom
Polymorph energy (0 for the lowest one) ... 13 meV/atom

Cell: 3.3128 3.3128 5.5087 Å, 90.00 90.00 120.00°
Last column: nearest neighbours and their distance in Å.
Space group P3m1 (No. 156)
Symmetry-distinct sites (fractional):
Tm  0.0000  0.0000  0.0000  3 N 2.37
Hf  0.6667  0.3333  0.5309  3 N 2.25
N  0.3333  0.6667  0.7450  3 Hf 2.25, 3 Tm 2.37

=====

[24]
Entry from the Alexandria database: a relaxed Tm2HfUN4 crystal (GGA-PBE).

Summary:
M_tot ... 0.72 Bohr magnetons per cell
DFT total energy ... -9.6213 eV per atom
V ... 13.34 Å³ per atom

Cell: 5.8023 3.3428 5.8168 Å, 90.00 108.96 90.00°
Last column: nearest neighbours and their distance in Å.
Space group P2/m (No. 10)
Symmetry-distinct sites (fractional):
Tm  0.0000  0.0000  0.0000  6 N 2.39-2.42
Tm  0.5000  0.5000  0.0000  6 N 2.43-2.44
Hf  0.0000  0.5000  0.5000  6 N 2.30-2.31
U  0.5000  0.0000  0.5000  6 N 2.31-2.36
N  0.2423  0.0000  0.7313  2 Hf 2.31, 1 U 2.31, 3 Tm 2.42-2.44
N  0.2460  0.5000  0.2602  1 Hf 2.30, 2 U 2.36, 3 Tm 2.39-2.43

=====

no.,formation energy from raw total energies (meV per atom)
1,10.6
2,-888.8
3,-161.8
4,-385.5
5,-311.2
6,1333.4
7,-369.6
8,2710.2
9,-820.9
10,-700.0
11,-667.8
12,-704.6
13,-1777.6
14,-1585.8
15,-1590.4
16,-1858.1
17,-1573.9
18,-1669.6
19,-1777.8
20,-1794.6
21,-1850.4
22,-1130.3
23,-1117.8
24,-1685.5